No. 1
BeInAg2: optimized geometry, PBE.

a = 4.0464 Å, b = 4.0464 Å, c = 4.1448 Å
α = 90.00°, β = 90.00°, γ = 89.98°
Element x y z (fractional)
In 0.0000 0.5000 0.5000
Ag 0.5000 0.5000 0.0000
Ag 0.0000 0.0000 0.0000
Be 0.5000 0.0000 0.5000

- M_tot (μB per cell) = 0.00
- DOS at the Fermi energy (states/eV per cell) = 1.6
- SG = P4/mmm
- VASP energy (Ry per atom) = -0.2053
- relative energy among the computed polymorphs (kJ per mole of atoms) = 10.63



No. 2
NaSbTe3Pb: optimized geometry, PBE.

a = 4.4353 Å, b = 9.2588 Å, c = 10.2887 Å
α = 102.82°, β = 90.00°, γ = 90.00°
Element x y z (fractional)
Te 0.2500 0.7433 0.5093
Te 0.2500 0.5549 0.8329
Te 0.7500 0.8986 0.0888
Te 0.2500 0.1014 0.9112
Te 0.7500 0.2567 0.4907
Te 0.7500 0.4451 0.1671
Sb 0.7500 0.3150 0.8862
Sb 0.2500 0.6850 0.1138
Pb 0.7500 0.7803 0.7325
Pb 0.2500 0.2197 0.2675
Na 0.2500 0.0985 0.6131
Na 0.7500 0.9015 0.3869

- M_tot (μB per cell) = 0.00
- raw formation energy (kJ/mol of formula units) = -189
- SG = P2_1/m
- VASP energy (Ry per atom) = -0.2515



No. 3
Hf2Zr3Ti: optimized geometry, PBE.

a = 3.0417 Å, b = 7.9520 Å, c = 11.6056 Å
α = 78.68°, β = 82.47°, γ = 78.97°
Element x y z (fractional)
Hf 0.1786 0.5209 0.1220
Hf 0.3485 0.8384 0.4647
Hf 0.8214 0.4791 0.8780
Hf 0.6515 0.1616 0.5353
Zr 0.0369 0.1465 0.7796
Zr 0.5987 0.8267 0.9760
Zr 0.7476 0.8053 0.6996
Zr 0.9631 0.8535 0.2204
Zr 0.2524 0.1947 0.3004
Zr 0.4013 0.1733 0.0240
Ti 0.4338 0.4882 0.6443
Ti 0.5662 0.5118 0.3557

- M_tot (μB per cell) = 0.00
- DOS at the Fermi energy (states/eV per cell) = 17.6
- SG = C2/m
- VASP energy (Ry per atom) = -0.6431



- The highest VASP energy belongs to which entry?
  BeInAg2



- Which formula does entry 2 have?
  NaSbTe3Pb



- What is the VASP energy in the first record?
  -0.2053 Ry per atom